Record 1
This record from Alexandria via LeMat-Bulk describes an optimized crystal structure of Ce2Sm5Bi4. The functional is PBE.

Calculated values
The total energy is -52.6 eV/cell. The theoretical density is 7.877 g cm⁻³. The energy relative to the elements is -145 meV per atom. The total magnetization is 1.94 μB/cell.

Structure (extended XYZ):
```
11
Lattice="4.2928 0.0000 0.0000 0.0000 7.5498 -1.0047 -2.1464 -4.5804 12.7604" Properties=species:S:1:pos:R:3 pbc="T T T"
Ce 2.1464 2.2980 5.6342
Bi 0.0000 0.3538 9.4924
Sm 2.1464 2.4462 8.4875
Sm 0.0000 0.5232 3.2682
Bi 0.0000 5.5542 0.4333
Sm 2.1464 -1.6268 8.2069
Ce 0.0000 0.6714 6.1215
Bi 2.1464 -2.5848 11.3224
Sm 2.1464 0.0000 0.0000
Bi 2.1464 2.6157 2.2633
Sm 0.0000 4.5963 3.5488
```

Record 2
This record from Alexandria via LeMat-Bulk describes an optimized crystal structure of Ce2SmBi. The functional is PBE.

Calculated values
As for the relative energy among the computed polymorphs: 70 meV per atom. The total energy is -22.0 eV/cell. The theoretical density is 9.227 g cm⁻³. The energy relative to the elements is -381 meV per atom. The total magnetization is 1.84 μB/cell.

Structure (extended XYZ):
```
4
Lattice="5.1611 0.0000 0.0000 0.0000 4.7224 0.0000 0.0000 0.0000 4.7224" Properties=species:S:1:pos:R:3 pbc="T T T"
Sm 2.5805 2.3612 2.3612
Ce 0.0000 2.3612 0.0000
Bi 2.5805 0.0000 0.0000
Ce 0.0000 0.0000 2.3612
```

Record 3
This record from Alexandria via LeMat-Bulk describes an optimized crystal structure of CeSmBi2. The functional is PBE.

Calculated values
As for the relative energy among the computed polymorphs: 4 meV per atom. The total energy is -43.7 eV/cell. The theoretical density is 8.663 g cm⁻³. The energy relative to the elements is -859 meV per atom. The total magnetization is 1.76 μB/cell.

Structure (extended XYZ):
```
8
Lattice="5.9654 0.0000 -2.5193 -1.0640 5.8697 -2.5193 -0.1665 -0.1994 7.9279" Properties=species:S:1:pos:R:3 pbc="T T T"
Bi 2.9830 0.0004 -1.2588
Bi 1.1417 1.3673 2.7034
Bi 5.2665 2.7350 4.1480
Sm 4.1248 1.3677 1.4446
Ce 0.6101 4.3026 1.4446
Bi 3.5931 4.3030 0.1857
Sm 0.0000 0.0000 0.0000
Ce 2.4507 2.9349 -2.5193
```

Record 4
This record from Alexandria via LeMat-Bulk describes an optimized crystal structure of CeSm2Bi3. The functional is PBE.

Calculated values
The total energy is -32.3 eV/cell. The theoretical density is 8.755 g cm⁻³. The energy relative to the elements is -884 meV per atom. The total magnetization is 0.80 μB/cell.

Structure (extended XYZ):
```
6
Lattice="4.5659 0.0000 0.0000 0.0000 6.4611 0.0000 -2.2829 -3.2305 6.8650" Properties=species:S:1:pos:R:3 pbc="T T T"
Bi 0.0000 0.0000 4.5750
Bi 2.2829 3.2305 2.2899
Ce 0.0000 3.2305 0.0000
Bi 0.0000 0.0000 0.0000
Sm 2.2829 0.0000 2.2865
Sm 0.0000 3.2305 4.5785
```